Record 1
Below is Tm2ScTi after structural relaxation, with properties calculated at the PBE level.

Cell lengths 5.2420, 5.2420, 5.2420 Å; angles 60.00, 60.00, 60.00 degrees
Last column: nearest neighbours and their distance in Å.
Fractional positions:
Tm 0.2500 0.2500 0.2500  4 Ti 3.21, 4 Sc 3.21
Tm 0.7500 0.7500 0.7500  4 Ti 3.21, 4 Sc 3.21
Sc 0.0000 0.0000 0.0000  8 Tm 3.21
Ti 0.5000 0.5000 0.5000  8 Tm 3.21

## Properties
V: 25.46 Å³/atom
ΔH_f (0 K): 4.771 kcal/mol of atoms
SG: Fm-3m



Record 2
Below is TcGe2HO after structural relaxation, with properties calculated at the PBE level.

Cell lengths 3.6936, 3.6936, 4.4950 Å; angles 90.00, 90.00, 90.00 degrees
Last column: nearest neighbours and their distance in Å.
Fractional positions:
Tc 0.0000 0.0000 0.0000  4 O 2.61, 8 Ge 2.91
Ge 0.0000 0.5000 0.5000  2 H 1.85
Ge 0.5000 0.0000 0.5000  2 H 1.85
H 0.5000 0.5000 0.5000  4 Ge 1.85
O 0.5000 0.5000 0.0000  2 H 2.25

## Properties
Calculated total energy: -4.91 eV/atom
V: 12.26 Å³/atom
SG: P4/mmm



Record 3
Below is KSi after structural relaxation, with properties calculated at the PBE level.

Cell lengths 10.4629, 10.4629, 3.5472 Å; angles 90.00, 90.00, 161.58 degrees
Last column: nearest neighbours and their distance in Å.
Fractional positions:
K 0.1093 0.8907 0.7500  4 K 3.35-3.55, 5 Si 3.42
K 0.8907 0.1093 0.2500  4 K 3.35-3.55, 5 Si 3.42
Si 0.2747 0.7253 0.7500  4 Si 2.64
Si 0.7253 0.2747 0.2500  4 Si 2.64

## Properties
ΔE_f (raw): 0.26 eV per atom
V: 30.68 Å³/atom
SG: Cmcm



Record 4
Below is NaPmTiO4 after structural relaxation, with properties calculated at the PBE level.

Cell lengths 6.2231, 5.9784, 6.9680 Å; angles 90.00, 91.63, 90.00 degrees
Last column: nearest neighbours and their distance in Å.
Fractional positions:
Na 0.1378 0.2500 0.1375  4 O 2.25-2.49
Na 0.8622 0.7500 0.8625  4 O 2.25-2.49
Pm 0.3333 0.2500 0.5800  6 O 2.33-2.49
Pm 0.6667 0.7500 0.4200  6 O 2.33-2.49
Ti 0.1594 0.7500 0.3441  4 O 1.78-1.87
Ti 0.8406 0.2500 0.6559  4 O 1.78-1.87
O 0.0340 0.7500 0.5701  1 Ti 1.78
O 0.0774 0.2500 0.8181  1 Ti 1.83
O 0.3591 0.5174 0.3343  1 Ti 1.87
O 0.3591 0.9826 0.3343  1 Ti 1.87
O 0.6409 0.0174 0.6657  1 Ti 1.87
O 0.6409 0.4826 0.6657  1 Ti 1.87
O 0.9226 0.7500 0.1819  1 Ti 1.83
O 0.9660 0.2500 0.4299  1 Ti 1.78

## Properties
ΔE_f (raw): -2.87 eV per atom
V: 18.51 Å³/atom
SG: P2_1/m



Record 5
Below is Rb2SmSi2S6 after structural relaxation, with properties calculated at the PBE level.

Cell lengths 7.1627, 7.1627, 8.0655 Å; angles 117.22, 117.22, 60.42 degrees
Last column: nearest neighbours and their distance in Å.
Fractional positions:
Rb 0.2166 0.2166 0.2092  9 S 3.42-3.71
Rb 0.7834 0.7834 0.7908  9 S 3.42-3.71
Sm 0.0000 0.0000 0.5000  6 S 2.75-2.81
Si 0.4590 0.4590 0.8125  3 S 2.09-2.10
Si 0.5410 0.5410 0.1875  3 S 2.09-2.10
S 0.2130 0.7009 0.2089  1 Si 2.10
S 0.2601 0.2601 0.6673  1 Si 2.09
S 0.2991 0.7870 0.7911  1 Si 2.10
S 0.7009 0.2130 0.2089  1 Si 2.10
S 0.7399 0.7399 0.3327  1 Si 2.09
S 0.7870 0.2991 0.7911  1 Si 2.10

## Properties
ΔE_f (raw): -1.07 eV per atom
V: 27.75 Å³/atom
SG: C2/m



Record 6
Below is NiRuPt2 after structural relaxation, with properties calculated at the PBE level.

Cell lengths 3.8296, 3.8296, 3.8599 Å; angles 90.00, 90.00, 90.00 degrees
Last column: nearest neighbours and their distance in Å.
Fractional positions:
Ni 0.0000 0.0000 0.0000  4 Ru 2.71, 8 Pt 2.72
Ru 0.5000 0.5000 0.0000  4 Ni 2.71, 8 Pt 2.72
Pt 0.0000 0.5000 0.5000  4 Pt 2.71, 4 Ru 2.72, 4 Ni 2.72
Pt 0.5000 0.0000 0.5000  4 Pt 2.71, 4 Ru 2.72, 4 Ni 2.72

## Properties
V: 14.15 Å³/atom
ΔH_f (0 K): 0.953 kcal/mol of atoms
SG: P4/mmm